(1)
This record from Alexandria describes a relaxed LiFeW crystal. The functional is PBE.

Computed properties:
- DFT formation energy: 0.3579 eV per atom
- Space-group type: No. 42
- Density of states at the Fermi level: 2.7 states/eV/cell

Lattice parameters (Å, degrees): 6.995 6.825 2.635 82.67 75.39 21.94
Fractional positions:
Li 0.000 0.000 0.000
Fe 0.665 0.665 0.335
W 0.318 0.318 0.682

***

(2)
This record from Alexandria describes a relaxed LiFeW2 crystal. The functional is PBE.

Computed properties:
- DFT formation energy: 0.3354 eV per atom
- Space-group type: No. 6
- Density of states at the Fermi level: 2.9 states/eV/cell

Lattice parameters (Å, degrees): 2.615 4.299 5.009 90.00 97.45 90.00
Fractional positions:
Li 0.000 0.000 0.000
Fe 0.143 0.500 0.745
W 0.433 0.000 0.514
W 0.681 0.500 0.233

***

(3)
This record from Alexandria describes a relaxed LiFeW2 crystal. The functional is PBE.

Computed properties:
- DFT formation energy: 0.4592 eV per atom
- Space-group type: No. 123
- Density of states at the Fermi level: 3.0 states/eV/cell

Lattice parameters (Å, degrees): 3.823 3.823 3.761 90.00 90.00 90.00
Fractional positions:
Li 0.000 0.000 0.000
Fe 0.500 0.500 0.000
W 0.000 0.500 0.500
W 0.500 0.000 0.500

***

What is the density of states at the Fermi level in the second record?
2.9 states/eV/cell

***

density of states at the Fermi level of number 1 (LiFeW)?
2.7 states/eV/cell

***

DFT formation energy of number 3 (LiFeW2)?
0.4592 eV per atom

***

The lowest density of states at the Fermi level belongs to which entry?
LiFeW